Ta3MnSi | GGA-PBEsol | relaxed

abc: 4.5042 4.5042 4.5042
angles: 90.00 90.00 90.00
Closest atoms and distances in Å follow each position.
Sites, in units of the cell vectors:
Ta: 0.0000 0.0000 0.5000  2 Mn 2.25
Ta: 0.5000 0.0000 0.0000  2 Mn 2.25
Ta: 0.0000 0.5000 0.0000  2 Mn 2.25
Mn: 0.0000 0.0000 0.0000  6 Ta 2.25
Si: 0.5000 0.5000 0.5000  12 Ta 3.18

Summary:
* symmetry: Pm-3m, No. 221
* calculated density: 11.37 g cm⁻³
* DOS at the Fermi energy: 0.5631 states/eV per atom
* E_form (uncorrected): 18.6 kcal/mol of atoms
* raw total energy: -49.13 eV/cell